Mn3HPt | PBE | relaxed

- M_tot (μB/f.u.) = 3.1
- total DFT energy (no corrections) (eV/atom) = -7.432
- crystal system = cubic

Geometry as CIF:
```
data_Mn3HPt
_chemical_formula_sum 'Mn3 H1 Pt1'
_space_group_name_H-M_alt 'P 1'
_space_group_IT_number 1
_space_group_name_Hall 'P 1'
_cell_length_a 3.695
_cell_length_b 3.695
_cell_length_c 3.695
_cell_angle_alpha 90.00
_cell_angle_beta 90.00
_cell_angle_gamma 90.00
loop_
_atom_site_label
_atom_site_type_symbol
_atom_site_fract_x
_atom_site_fract_y
_atom_site_fract_z
Mn1 Mn 0.000 0.000 0.500
Mn2 Mn 0.000 0.500 0.000
Mn3 Mn 0.500 0.000 0.000
H1 H 0.000 0.000 0.000
Pt1 Pt 0.500 0.500 0.500
```

Mn3HPt | PBE | relaxed

- M_tot (μB/f.u.) = 13.8
- total DFT energy (no corrections) (eV/atom) = -6.226
- crystal system = cubic

Geometry as CIF:
```
data_Mn3HPt
_chemical_formula_sum 'Mn3 H1 Pt1'
_space_group_name_H-M_alt 'P 1'
_space_group_IT_number 1
_space_group_name_Hall 'P 1'
_cell_length_a 4.937
_cell_length_b 4.937
_cell_length_c 4.937
_cell_angle_alpha 90.00
_cell_angle_beta 90.00
_cell_angle_gamma 90.00
loop_
_atom_site_label
_atom_site_type_symbol
_atom_site_fract_x
_atom_site_fract_y
_atom_site_fract_z
Mn1 Mn 0.000 0.000 0.500
Mn2 Mn 0.000 0.500 0.000
Mn3 Mn 0.500 0.000 0.000
H1 H 0.500 0.500 0.500
Pt1 Pt 0.000 0.000 0.000
```

MnHPt2 | PBE | relaxed

- M_tot (μB/f.u.) = 4.3
- total DFT energy (no corrections) (eV/atom) = -6.215
- crystal system = tetragonal

Geometry as CIF:
```
data_MnHPt2
_chemical_formula_sum 'Mn2 H2 Pt4'
_space_group_name_H-M_alt 'P 1'
_space_group_IT_number 1
_space_group_name_Hall 'P 1'
_cell_length_a 5.111
_cell_length_b 5.111
_cell_length_c 5.111
_cell_angle_alpha 105.49
_cell_angle_beta 105.49
_cell_angle_gamma 117.76
loop_
_atom_site_label
_atom_site_type_symbol
_atom_site_fract_x
_atom_site_fract_y
_atom_site_fract_z
Mn1 Mn 0.000 0.000 0.000
Mn2 Mn 0.750 0.250 0.500
H1 H 0.250 0.750 0.500
H2 H 0.500 0.500 0.000
Pt1 Pt 0.221 0.125 0.596
Pt2 Pt 0.375 0.779 0.904
Pt3 Pt 0.529 0.625 0.404
Pt4 Pt 0.875 0.471 0.096
```

MnHPt3 | PBE | relaxed

- M_tot (μB/f.u.) = 4.6
- total DFT energy (no corrections) (eV/atom) = -6.356
- crystal system = orthorhombic

Geometry as CIF:
```
data_MnHPt3
_chemical_formula_sum 'Mn2 H2 Pt6'
_space_group_name_H-M_alt 'P 1'
_space_group_IT_number 1
_space_group_name_Hall 'P 1'
_cell_length_a 5.667
_cell_length_b 4.059
_cell_length_c 5.657
_cell_angle_alpha 90.00
_cell_angle_beta 90.00
_cell_angle_gamma 90.00
loop_
_atom_site_label
_atom_site_type_symbol
_atom_site_fract_x
_atom_site_fract_y
_atom_site_fract_z
Mn1 Mn 0.000 0.015 0.000
Mn2 Mn 0.500 0.985 0.500
H1 H 0.000 0.725 0.711
H2 H 0.500 0.275 0.211
Pt1 Pt 0.000 0.022 0.481
Pt2 Pt 0.241 0.522 0.244
Pt3 Pt 0.259 0.478 0.744
Pt4 Pt 0.500 0.978 0.981
Pt5 Pt 0.741 0.478 0.744
Pt6 Pt 0.759 0.522 0.244
```

MnHPt3 | PBE | relaxed

- M_tot (μB/f.u.) = 0.0
- total DFT energy (no corrections) (eV/atom) = -4.584
- crystal system = cubic

Geometry as CIF:
```
data_MnHPt3
_chemical_formula_sum 'Mn1 H1 Pt3'
_space_group_name_H-M_alt 'P 1'
_space_group_IT_number 1
_space_group_name_Hall 'P 1'
_cell_length_a 4.549
_cell_length_b 4.549
_cell_length_c 4.549
_cell_angle_alpha 90.00
_cell_angle_beta 90.00
_cell_angle_gamma 90.00
loop_
_atom_site_label
_atom_site_type_symbol
_atom_site_fract_x
_atom_site_fract_y
_atom_site_fract_z
Mn1 Mn 0.000 0.000 0.000
H1 H 0.500 0.500 0.500
Pt1 Pt 0.000 0.000 0.500
Pt2 Pt 0.000 0.500 0.000
Pt3 Pt 0.500 0.000 0.000
```

MnHPt | PBE | relaxed

- M_tot (μB/f.u.) = 0.0
- total DFT energy (no corrections) (eV/atom) = -5.996
- crystal system = orthorhombic

Geometry as CIF:
```
data_MnHPt
_chemical_formula_sum 'Mn4 H4 Pt4'
_space_group_name_H-M_alt 'P 1'
_space_group_IT_number 1
_space_group_name_Hall 'P 1'
_cell_length_a 6.248
_cell_length_b 3.762
_cell_length_c 5.159
_cell_angle_alpha 90.00
_cell_angle_beta 90.00
_cell_angle_gamma 90.00
loop_
_atom_site_label
_atom_site_type_symbol
_atom_site_fract_x
_atom_site_fract_y
_atom_site_fract_z
Mn1 Mn 0.040 0.250 0.115
Mn2 Mn 0.460 0.750 0.615
Mn3 Mn 0.540 0.250 0.385
Mn4 Mn 0.960 0.750 0.885
H1 H 0.164 0.750 0.611
H2 H 0.336 0.250 0.111
H3 H 0.664 0.750 0.889
H4 H 0.836 0.250 0.389
Pt1 Pt 0.163 0.250 0.602
Pt2 Pt 0.337 0.750 0.102
Pt3 Pt 0.663 0.250 0.898
Pt4 Pt 0.837 0.750 0.398
```

MnHPt | PBE | relaxed

- M_tot (μB/f.u.) = 3.1
- total DFT energy (no corrections) (eV/atom) = -6.100
- crystal system = tetragonal

Geometry as CIF:
```
data_MnHPt
_chemical_formula_sum 'Mn1 H1 Pt1'
_space_group_name_H-M_alt 'P 1'
_space_group_IT_number 1
_space_group_name_Hall 'P 1'
_cell_length_a 4.858
_cell_length_b 4.858
_cell_length_c 4.858
_cell_angle_alpha 147.51
_cell_angle_beta 147.51
_cell_angle_gamma 46.61
loop_
_atom_site_label
_atom_site_type_symbol
_atom_site_fract_x
_atom_site_fract_y
_atom_site_fract_z
Mn1 Mn 0.000 0.000 0.000
H1 H 0.509 0.509 0.000
Pt1 Pt 0.278 0.278 0.000
```

MnH2Pt2 | PBE | relaxed

- M_tot (μB/f.u.) = 4.2
- total DFT energy (no corrections) (eV/atom) = -5.617
- crystal system = tetragonal

Geometry as CIF:
```
data_MnH2Pt2
_chemical_formula_sum 'Mn1 H2 Pt2'
_space_group_name_H-M_alt 'P 1'
_space_group_IT_number 1
_space_group_name_Hall 'P 1'
_cell_length_a 6.576
_cell_length_b 6.576
_cell_length_c 6.576
_cell_angle_alpha 154.46
_cell_angle_beta 154.46
_cell_angle_gamma 36.43
loop_
_atom_site_label
_atom_site_type_symbol
_atom_site_fract_x
_atom_site_fract_y
_atom_site_fract_z
Mn1 Mn 0.000 0.000 0.000
H1 H 0.250 0.750 0.500
H2 H 0.750 0.250 0.500
Pt1 Pt 0.355 0.355 0.000
Pt2 Pt 0.645 0.645 0.000
```

MnHPt | PBE | relaxed

- M_tot (μB/f.u.) = 3.6
- total DFT energy (no corrections) (eV/atom) = -6.213
- crystal system = orthorhombic

Geometry as CIF:
```
data_MnHPt
_chemical_formula_sum 'Mn2 H2 Pt2'
_space_group_name_H-M_alt 'P 1'
_space_group_IT_number 1
_space_group_name_Hall 'P 1'
_cell_length_a 4.653
_cell_length_b 4.653
_cell_length_c 5.170
_cell_angle_alpha 90.00
_cell_angle_beta 90.00
_cell_angle_gamma 144.84
loop_
_atom_site_label
_atom_site_type_symbol
_atom_site_fract_x
_atom_site_fract_y
_atom_site_fract_z
Mn1 Mn 0.000 0.000 0.000
Mn2 Mn 0.000 0.000 0.500
H1 H 0.474 0.526 0.750
H2 H 0.526 0.474 0.250
Pt1 Pt 0.266 0.734 0.750
Pt2 Pt 0.734 0.266 0.250
```

MnH2Pt2 | PBE | relaxed

- M_tot (μB/f.u.) = 3.9
- total DFT energy (no corrections) (eV/atom) = -5.692
- crystal system = tetragonal

Geometry as CIF:
```
data_MnH2Pt2
_chemical_formula_sum 'Mn2 H4 Pt4'
_space_group_name_H-M_alt 'P 1'
_space_group_IT_number 1
_space_group_name_Hall 'P 1'
_cell_length_a 5.428
_cell_length_b 5.428
_cell_length_c 3.704
_cell_angle_alpha 90.00
_cell_angle_beta 90.00
_cell_angle_gamma 90.00
loop_
_atom_site_label
_atom_site_type_symbol
_atom_site_fract_x
_atom_site_fract_y
_atom_site_fract_z
Mn1 Mn 0.000 0.000 0.000
Mn2 Mn 0.500 0.500 0.000
H1 H 0.168 0.332 0.000
H2 H 0.332 0.832 0.000
H3 H 0.668 0.168 0.000
H4 H 0.832 0.668 0.000
Pt1 Pt 0.181 0.319 0.500
Pt2 Pt 0.319 0.819 0.500
Pt3 Pt 0.681 0.181 0.500
Pt4 Pt 0.819 0.681 0.500
```

MnHPt | PBE | relaxed

- M_tot (μB/f.u.) = 0.0
- total DFT energy (no corrections) (eV/atom) = -6.113
- crystal system = monoclinic

Geometry as CIF:
```
data_MnHPt
_chemical_formula_sum 'Mn2 H2 Pt2'
_space_group_name_H-M_alt 'P 1'
_space_group_IT_number 1
_space_group_name_Hall 'P 1'
_cell_length_a 8.393
_cell_length_b 8.393
_cell_length_c 2.697
_cell_angle_alpha 98.99
_cell_angle_beta 98.99
_cell_angle_gamma 18.49
loop_
_atom_site_label
_atom_site_type_symbol
_atom_site_fract_x
_atom_site_fract_y
_atom_site_fract_z
Mn1 Mn 0.000 0.000 0.000
Mn2 Mn 0.589 0.589 0.586
H1 H 0.154 0.154 0.648
H2 H 0.654 0.654 0.148
Pt1 Pt 0.386 0.386 0.389
Pt2 Pt 0.754 0.754 0.760
```

| no. | relative energy among the computed polymorphs (meV/atom) |
| --- | --- |
| 1 | 0 |
| 2 | 1206 |
| 3 | 0 |
| 4 | 0 |
| 5 | 1773 |
| 6 | 333 |
| 7 | 228 |
| 8 | 75 |
| 9 | 115 |
| 10 | 0 |
| 11 | 216 |